Below is a geometry-optimized AlC3 structure, with properties calculated at the PBE-GGA level.

- E above lowest polymorph: 0.022 eV per atom
- Size of the total moment: 0.0 μB per formula unit
- Calculated formation energy: 0.803 eV per atom
- Calculated total energy: -7.05 eV per atom
- N(E_F): 4.464 states/eV/cell

The structure in CIF format:
```
data_AlC3
_cell_length_a 7.234
_cell_length_b 10.120
_cell_length_c 2.501
_cell_angle_alpha 90.00
_cell_angle_beta 90.00
_cell_angle_gamma 90.00
_symmetry_space_group_name_H-M 'C m c m'
_symmetry_Int_Tables_number 63
_symmetry_space_group_name_Hall '-C 2c 2'
loop_
_atom_site_label
_atom_site_type_symbol
_atom_site_fract_x
_atom_site_fract_y
_atom_site_fract_z
_atom_site_occupancy
Al1 Al 0.000 0.131 0.250 1
C1 C 0.000 0.496 0.250 1
C2 C 0.213 0.228 0.750 1
```